# Y2NpNiS5

A relaxed structure of Y2NpNiS5 (GGA-PBE, the Alexandria database). Values from VASP.

Summary:
Formation energy from raw total energies, eV/f.u.: -13.74

```
&SYSTEM
  ibrav = 0, nat = 18, ntyp = 4
/
ATOMIC_SPECIES
Y 88.91 Y.upf
S 32.06 S.upf
Np 237.00 Np.upf
Ni 58.69 Ni.upf
CELL_PARAMETERS angstrom
3.7566 0.0000 0.0000
-1.8783 8.2517 0.0000
0.0000 0.0000 11.6585
ATOMIC_POSITIONS angstrom
Y 1.8783 6.5101 9.9177
S 0.0000 0.2606 0.1537
Y 1.8783 6.3354 2.2489
Np 1.8783 5.3490 6.1550
Ni 1.8783 0.8332 10.7244
S 1.8783 3.2421 2.2908
S 1.8783 2.5963 6.0499
S 1.8783 2.9657 10.0074
S 1.8783 7.9911 5.9830
S 0.0000 5.2860 4.1781
S 0.0000 8.1821 8.6925
Ni 0.0000 7.4186 4.8951
S 0.0000 5.6554 0.2207
S 0.0000 5.0096 8.1201
S 1.8783 0.0696 2.8632
Np 0.0000 2.9027 0.3258
Y 0.0000 1.9164 8.0781
Y 0.0000 1.7416 4.0884
```